Compound: ZrTlCoRh
Source: the Alexandria database
Functional: PBE
Structure: relaxed

Cell lengths 4.578, 4.578, 4.578 Å; angles 60.00, 60.00, 60.00 degrees
Element x y z (fractional)
1 Zr 0.000 0.000 0.000
2 Tl 0.500 0.500 0.500
3 Co 0.750 0.750 0.750
4 Rh 0.250 0.250 0.250

The calculation puts the density of states at the Fermi level at 1.9 states/eV per cell.

Compound: CsCdSe2N
Source: the Alexandria database
Functional: PBE
Structure: relaxed

Cell lengths 5.440, 5.440, 4.996 Å; angles 90.00, 90.00, 90.00 degrees
Element x y z (fractional)
1 Cs 0.000 0.000 0.000
2 Cd 0.500 0.500 0.500
3 Se 0.000 0.500 0.500
4 Se 0.500 0.000 0.500
5 N 0.500 0.500 0.000

The value obtained for the formation energy from raw total energies is 0.50 eV per atom. The calculation puts the density of states at the Fermi level at 3.7 states/eV per cell.

Compound: Ba2LaVCo
Source: the Alexandria database
Functional: PBE
Structure: relaxed

Cell lengths 6.247, 6.247, 4.382 Å; angles 90.00, 90.00, 90.00 degrees
Element x y z (fractional)
1 Ba 0.000 0.500 0.000
2 Ba 0.500 0.000 0.000
3 La 0.000 0.000 0.500
4 V 0.500 0.500 0.500
5 Co 0.500 0.500 0.000

The calculation puts the density of states at the Fermi level at 8.8 states/eV per cell.

Compound: MgTiCd2
Source: the Alexandria database
Functional: PBE
Structure: relaxed

Cell lengths 4.532, 4.532, 3.859 Å; angles 90.00, 90.00, 90.00 degrees
Element x y z (fractional)
1 Mg 0.000 0.000 0.000
2 Ti 0.500 0.500 0.000
3 Cd 0.000 0.500 0.500
4 Cd 0.500 0.000 0.500

The calculation puts the density of states at the Fermi level at 2.8 states/eV per cell.

Compound: Pm3YAs4
Source: the Alexandria database
Functional: PBE
Structure: relaxed

Cell lengths 5.953, 5.953, 5.953 Å; angles 90.00, 90.00, 90.00 degrees
Element x y z (fractional)
1 Pm 0.000 0.000 0.500
2 Pm 0.000 0.500 0.000
3 Pm 0.500 0.000 0.000
4 Y 0.500 0.500 0.500
5 As 0.000 0.000 0.000
6 As 0.000 0.500 0.500
7 As 0.500 0.000 0.500
8 As 0.500 0.500 0.000

The calculation puts the density of states at the Fermi level at 0.7 states/eV per cell.

Compound: CuRe2Au
Source: the Alexandria database
Functional: PBE
Structure: relaxed

Cell lengths 2.662, 2.662, 9.326 Å; angles 90.00, 90.00, 112.52 degrees
Element x y z (fractional)
1 Cu 0.000 0.000 0.000
2 Re 0.500 0.500 0.234
3 Re 0.500 0.500 0.766
4 Au 0.000 0.000 0.500

The calculation puts the density of states at the Fermi level at 2.7 states/eV per cell.

Compound: Li3MgNp2Se6
Source: the Alexandria database
Functional: PBE
Structure: relaxed

Cell lengths 8.899, 8.899, 7.945 Å; angles 102.43, 102.43, 26.30 degrees
Element x y z (fractional)
1 Li 0.000 0.000 0.000
2 Li 0.337 0.337 0.669
3 Li 0.663 0.663 0.331
4 Mg 0.000 0.000 0.500
5 Np 0.338 0.338 0.178
6 Np 0.662 0.662 0.822
7 Se 0.167 0.167 0.574
8 Se 0.168 0.168 0.080
9 Se 0.497 0.497 0.742
10 Se 0.503 0.503 0.258
11 Se 0.832 0.832 0.920
12 Se 0.833 0.833 0.426

The value obtained for the formation energy from raw total energies is -1.20 eV per atom. The calculation puts the density of states at the Fermi level at 19.1 states/eV per cell.

Compound: Al2RhAu
Source: the Alexandria database
Functional: PBE
Structure: relaxed

Cell lengths 8.644, 8.644, 8.644 Å; angles 19.67, 19.67, 19.67 degrees
Element x y z (fractional)
1 Al 0.000 0.000 0.000
2 Al 0.244 0.244 0.244
3 Rh 0.737 0.737 0.737
4 Au 0.497 0.497 0.497

The calculation puts the density of states at the Fermi level at 1.7 states/eV per cell.

Number 1: raw total energy -6.576 eV/atom. Number 2: raw total energy -2.908 eV/atom. Number 3: raw total energy -4.230 eV/atom. Number 4: raw total energy -2.838 eV/atom. Number 5: raw total energy -6.446 eV/atom. Number 6: raw total energy -7.514 eV/atom. Number 7: raw total energy -5.710 eV/atom. Number 8: raw total energy -4.829 eV/atom.